Record 1
VASP calculation (PBE-GGA) on a geometry-optimized AsIr2Br structure.

Unit cell a=6.093 b=6.093 c=6.383 alpha=61.49 beta=61.49 gamma=90.00
Fractional positions:
1 Br 0.750 0.250 0.500
2 Br 0.000 0.000 0.000
3 As 0.250 0.750 0.500
4 As 0.500 0.500 0.000
5 Ir 0.875 0.849 0.750
6 Ir 0.375 0.401 0.750
7 Ir 0.151 0.625 0.250
8 Ir 0.599 0.125 0.250

Distance to the lowest polymorph of the same formula (meV per atom): 310
E (eV/atom): -5.39
Raw formation energy (eV/atom): 0.616
Magnetization (μB/f.u.): 0.00
Space group: No. 122

---

Record 2
VASP calculation (PBE-GGA) on a geometry-optimized AsIr2Br structure.

Unit cell a=8.482 b=8.482 c=8.482 alpha=21.03 beta=21.03 gamma=21.03
Fractional positions:
1 As 0.250 0.250 0.250
2 Br 0.750 0.750 0.750
3 Ir 0.514 0.514 0.514
4 Ir 0.986 0.986 0.986

Distance to the lowest polymorph of the same formula (meV per atom): 175
E (eV/atom): -5.53
Raw formation energy (eV/atom): 0.481
Magnetization (μB/f.u.): 0.00
Space group: No. 166

---

Record 3
VASP calculation (PBE-GGA) on a geometry-optimized AsIr2Br structure.

Unit cell a=3.187 b=3.187 c=8.366 alpha=90.00 beta=90.00 gamma=122.39
Fractional positions:
1 Br 0.500 0.500 0.750
2 Ir 0.000 0.000 0.471
3 Ir 0.000 0.000 0.029
4 As 0.500 0.500 0.250

Distance to the lowest polymorph of the same formula (meV per atom): 376
E (eV/atom): -5.33
Raw formation energy (eV/atom): 0.682
Magnetization (μB/f.u.): 0.00
Space group: No. 65

---

Record 4
VASP calculation (PBE-GGA) on a geometry-optimized AsIrBr structure.

Unit cell a=7.671 b=7.671 c=3.028 alpha=78.63 beta=78.61 gamma=22.76
Fractional positions:
1 As 0.053 0.053 0.947
2 Br 0.298 0.298 0.702
3 Ir 0.649 0.649 0.351

Distance to the lowest polymorph of the same formula (meV per atom): 330
E (eV/atom): -4.79
Raw formation energy (eV/atom): 0.273
Magnetization (μB/f.u.): 0.00
Space group: No. 107

---

Record 5
VASP calculation (PBE-GGA) on a geometry-optimized AsIr2Br structure.

Unit cell a=5.327 b=5.327 c=3.019 alpha=73.54 beta=73.54 gamma=113.75
Fractional positions:
1 Ir 0.000 0.000 0.000
2 Ir 0.500 0.500 0.000
3 As 0.500 0.000 0.500
4 Br 0.000 0.500 0.500

Distance to the lowest polymorph of the same formula (meV per atom): 491
E (eV/atom): -5.21
Raw formation energy (eV/atom): 0.797
Magnetization (μB/f.u.): 0.00
Space group: No. 12

---

Record 6
VASP calculation (PBE-GGA) on a geometry-optimized AsIr2Br structure.

Unit cell a=5.348 b=5.348 c=5.348 alpha=147.61 beta=113.81 gamma=75.63
Fractional positions:
1 Br 0.250 0.750 0.500
2 Ir 0.974 0.974 0.000
3 Ir 0.526 0.526 0.000
4 As 0.750 0.250 0.500

Distance to the lowest polymorph of the same formula (meV per atom): 448
E (eV/atom): -5.26
Raw formation energy (eV/atom): 0.754
Magnetization (μB/f.u.): 0.00
Space group: No. 71